The following is a PBE+U calculation of a relaxed LaVBrO4 crystal, from Alexandria via LeMat-Bulk.

Properties
- Calculated total energy: -49.6 eV/f.u.
- Spin magnetization: 0.0 μB/cell

abc: 12.145 6.631 7.047
angles: 90.00 102.07 90.00
Space group C2/m (No. 12)
One atom of each set of equivalent atoms:
La1 0.206 0.000 0.327 [4 per cell]
V1 0.133 0.000 0.755 [4 per cell]
Br1 0.019 0.500 0.167 [4 per cell]
O1 0.010 0.000 0.261 [4 per cell]
O2 0.176 0.204 0.624 [8 per cell]
O3 0.203 0.000 0.993 [4 per cell]